{
  "formula": "Zn2Ag3",
  "functional": "PBE",
  "state": "relaxed",
  "lattice_angstrom": [[-0.421, 2.256, 3.481], [-3.471, -1.338, 2.945], [2.413, -1.970, 4.066]],
  "species": ["Ag", "Zn", "Zn", "Ag", "Ag"],
  "frac_coords": [[0.407, 0.407, 0.778], [0.607, 0.598, 0.188], [0.793, 0.802, 0.612], [0.200, 0.200, 0.400], [0.993, 0.993, 0.022]],
  "delta_e_f_ev_per_atom": -0.03,
  "sg": "No. 12",
  "volume_a3_per_atom": 16.6,
  "e_above_lowest_polymorph_kj_per_mol_atoms": 0.5,
  "energy_ev_per_atom": -2.25
}



{
  "formula": "LaRePb2",
  "functional": "PBE",
  "state": "relaxed",
  "lattice_angstrom": [[7.184, 0.019, 0.000], [4.769, 5.372, 0.000], [-5.606, -3.516, 2.795]],
  "species": ["Pb", "Re", "Pb", "La"],
  "frac_coords": [[0.997, 0.997, 0.000], [0.505, 0.505, 0.000], [0.682, 0.182, 0.500], [0.316, 0.816, 0.500]],
  "delta_e_f_ev_per_atom": 0.40,
  "sg": "No. 44",
  "volume_a3_per_atom": 26.9,
  "e_above_lowest_polymorph_kj_per_mol_atoms": 9.5,
  "energy_ev_per_atom": -5.80
}



{
  "formula": "K2LaMnGa",
  "functional": "PBE",
  "state": "relaxed",
  "lattice_angstrom": [[-5.908, -0.409, 1.644], [-1.423, -0.400, -5.211], [0.515, -6.115, 0.329]],
  "species": ["K", "K", "La", "Mn", "Ga"],
  "frac_coords": [[0.500, 0.000, 0.000], [0.000, 0.000, 0.500], [0.000, 0.500, 0.000], [0.000, 0.000, 0.000], [0.500, 0.500, 0.500]],
  "delta_e_f_ev_per_atom": 0.79,
  "sg": "No. 123",
  "volume_a3_per_atom": 40.9,
  "energy_ev_per_atom": -3.08
}



{
  "formula": "AsPt2I",
  "functional": "PBE",
  "state": "relaxed",
  "lattice_angstrom": [[0.000, 3.368, 3.368], [3.368, 0.000, 3.368], [3.368, 3.368, 0.000]],
  "species": ["Pt", "As", "I", "Pt"],
  "frac_coords": [[0.750, 0.750, 0.750], [0.000, 0.000, 0.000], [0.500, 0.500, 0.500], [0.250, 0.250, 0.250]],
  "sg": "No. 225",
  "volume_a3_per_atom": 19.1,
  "raw_formation_energy_ev_per_atom": 0.460,
  "e_above_lowest_polymorph_kj_per_mol_atoms": 36.8,
  "energy_ev_per_atom": -4.11
}



{
  "formula": "GdTl2Br4",
  "functional": "PBE",
  "state": "relaxed",
  "lattice_angstrom": [[5.709, 0.000, 0.000], [0.000, 5.709, 0.000], [2.855, 2.855, 8.538]],
  "species": ["Br", "Br", "Br", "Gd", "Br", "Tl", "Tl"],
  "frac_coords": [[0.500, 0.000, 0.000], [0.000, 0.500, 0.000], [0.833, 0.833, 0.335], [0.000, 0.000, 0.000], [0.167, 0.167, 0.665], [0.354, 0.354, 0.291], [0.646, 0.646, 0.709]],
  "sg": "No. 139",
  "volume_a3_per_atom": 39.8,
  "raw_formation_energy_ev_per_atom": -1.139,
  "energy_ev_per_atom": -4.78
}



{
  "formula": "TmCuS2",
  "functional": "PBE",
  "state": "relaxed",
  "lattice_angstrom": [[4.032, 0.000, 0.000], [2.016, 3.492, 0.000], [2.016, 1.164, 7.056]],
  "species": ["Cu", "S", "Tm", "S"],
  "frac_coords": [[0.000, 0.000, 0.000], [0.101, 0.101, 0.698], [0.500, 0.500, 0.500], [0.899, 0.899, 0.302]],
  "sg": "No. 166",
  "volume_a3_per_atom": 24.8,
  "raw_formation_energy_ev_per_atom": -1.316,
  "energy_ev_per_atom": -5.52
}



{
  "formula": "KBaAsSe2",
  "functional": "PBE",
  "state": "relaxed",
  "lattice_angstrom": [[6.207, 0.000, 0.000], [0.000, 6.207, 0.000], [0.000, 0.000, 6.317]],
  "species": ["Se", "K", "Se", "Ba", "As"],
  "frac_coords": [[0.500, 0.000, 0.000], [0.500, 0.500, 0.500], [0.000, 0.500, 0.000], [0.000, 0.000, 0.000], [0.000, 0.000, 0.500]],
  "sg": "No. 123",
  "volume_a3_per_atom": 48.7,
  "raw_formation_energy_ev_per_atom": -0.166,
  "e_above_lowest_polymorph_kj_per_mol_atoms": 0.0,
  "energy_ev_per_atom": -3.09
}



{
  "formula": "Rb2TaGaS5",
  "functional": "PBE",
  "state": "relaxed",
  "lattice_angstrom": [[-0.446, 2.101, 2.974], [-9.277, -1.354, -2.696], [-0.672, -11.802, 8.238]],
  "species": ["S", "Ta", "Rb", "S", "S", "S", "Rb", "Rb", "S", "Ta", "S", "S", "S", "S", "Ga", "S", "Rb", "Ga"],
  "frac_coords": [[0.074, 0.148, 0.037], [0.220, 0.441, 0.023], [0.870, 0.740, 0.804], [0.335, 0.671, 0.996], [0.694, 0.389, 0.904], [0.306, 0.611, 0.404], [0.893, 0.787, 0.176], [0.107, 0.213, 0.676], [0.286, 0.571, 0.637], [0.780, 0.559, 0.523], [0.714, 0.429, 0.137], [0.926, 0.852, 0.537], [0.665, 0.329, 0.496], [0.510, 0.020, 0.809], [0.570, 0.140, 0.938], [0.490, 0.980, 0.309], [0.130, 0.260, 0.304], [0.430, 0.860, 0.438]],
  "sg": "No. 36",
  "volume_a3_per_atom": 28.1,
  "raw_formation_energy_ev_per_atom": -1.002,
  "energy_ev_per_atom": -5.16
}



What are the theoretical density values for these records? In order: 9.1, 11.4, 2.8, 12.9, 5.3, 5.0, 2.8, 3.8 g/cm3.